VASP calculation (PBE-GGA) on NdSn2Hg2 after structural relaxation.

Calculated values
- VASP energy (eV per cell) = -60.622
- calculated density (g/cm³) = 10.0
- energy of formation (meV per atom) = -356
- density of states at the Fermi level (states/eV/cell) = 6.397

The structure in CIF format:
```
data_NdSn2Hg2
_space_group_name_H-M_alt 'C m c m'
_space_group_IT_number 63
_space_group_name_Hall '-C 2c 2'
_cell_length_a 4.600
_cell_length_b 24.796
_cell_length_c 4.548
_cell_angle_alpha 90.00
_cell_angle_beta 90.00
_cell_angle_gamma 90.00
loop_
_atom_site_label
_atom_site_fract_x
_atom_site_fract_y
_atom_site_fract_z
_atom_site_occupancy
Nd1 0.000 0.146 0.250 1
Sn1 0.000 0.250 0.750 1
Sn2 0.000 0.359 0.250 1
Hg1 0.000 0.045 0.750 1
Hg2 0.000 0.452 0.750 1
```